! TlGaHg (PBE, optimized geometry); values from VASP
&SYSTEM
  ibrav = 0, nat = 6, ntyp = 3
/
ATOMIC_SPECIES
Tl 204.38 Tl.upf
Ga 69.72 Ga.upf
Hg 200.59 Hg.upf
ATOMIC_POSITIONS crystal
Tl 0.000 0.500 0.144
Tl 0.500 0.000 0.856
Ga 0.500 0.500 0.500
Ga 0.000 0.000 0.500
Hg 0.000 0.500 0.742
Hg 0.500 0.000 0.258
CELL_PARAMETERS angstrom
-2.591 -0.674 -3.530
3.346 -2.040 -2.067
-2.370 -7.006 3.078
! formation energy from the elements	0.053	eV per atom



! Sm4GeRh (PBE, optimized geometry); values from VASP
&SYSTEM
  ibrav = 0, nat = 12, ntyp = 3
/
ATOMIC_SPECIES
Sm 150.36 Sm.upf
Ge 72.64 Ge.upf
Rh 102.91 Rh.upf
ATOMIC_POSITIONS crystal
Sm 0.994 0.000 0.269
Sm 0.588 0.250 0.887
Sm 0.412 0.750 0.113
Sm 0.570 0.250 0.400
Sm 0.994 0.500 0.269
Sm 0.006 0.500 0.731
Sm 0.006 0.000 0.731
Sm 0.430 0.750 0.600
Ge 0.786 0.750 0.948
Ge 0.214 0.250 0.052
Rh 0.751 0.750 0.436
Rh 0.249 0.250 0.564
CELL_PARAMETERS angstrom
5.940 0.000 -1.902
0.000 6.730 0.000
-0.224 0.000 8.346
! formation energy from the elements	-0.546	eV per atom
! excess energy over the best structure of this formula in the dataset	0.006	eV/atom



! PrZrSe2 (PBE, optimized geometry); values from VASP
&SYSTEM
  ibrav = 0, nat = 4, ntyp = 3
/
ATOMIC_SPECIES
Se 78.96 Se.upf
Pr 140.91 Pr.upf
Zr 91.22 Zr.upf
ATOMIC_POSITIONS crystal
Se 0.107 0.107 0.679
Se 0.893 0.893 0.321
Pr 0.000 0.000 0.000
Zr 0.500 0.500 0.500
CELL_PARAMETERS angstrom
-2.141 1.359 2.814
-3.646 0.819 -0.620
-4.257 -7.842 3.098
! formation energy without anion corrections	-1066	meV/atom
! excess energy over the best structure of this formula in the dataset	0.350	eV/atom



Ρ in g/cm3, matching the order above: 10.027 7.801 5.671
Magnetic moment in μB per formula unit, matching the order above: 0.0 0.0 0.0